[1]
# RbPtO3, optimized geometry, DFT PBE
# total magnetic moment	4.0	μB per cell
# crystal system	orthorhombic
# raw total energy	-4.94	eV/atom
data_RbPtO3
_chemical_formula_sum 'Rb4 Pt4 O12'
_space_group_name_H-M_alt 'P n m a'
_space_group_IT_number 62
_cell_length_a 6.4364
_cell_length_b 9.8966
_cell_length_c 6.5993
_cell_angle_alpha 90.00
_cell_angle_beta 90.00
_cell_angle_gamma 90.00
loop_
_space_group_symop_operation_xyz
'x,y,z'
'-x,-y,-z'
'-x+1/2,-y,z+1/2'
'x+1/2,y,-z+1/2'
'x+1/2,-y+1/2,-z+1/2'
'-x+1/2,y+1/2,z+1/2'
'-x,y+1/2,-z'
'x,-y+1/2,z'
loop_
_atom_site_label
_atom_site_fract_x
_atom_site_fract_y
_atom_site_fract_z
_atom_site_occupancy
Rb1 0.0000 0.0000 0.0000 1
Pt1 0.0225 0.2500 0.4669 1
O1 0.1127 0.6013 0.6198 1
O2 0.2440 0.7500 0.1127 1

[2]
# SmAgAs2, optimized geometry, DFT PBE
# total magnetic moment	0.0	μB per cell
# crystal system	tetragonal
# raw total energy	-4.98	eV/atom
data_SmAgAs2
_chemical_formula_sum 'Sm2 Ag2 As4'
_space_group_name_H-M_alt 'P 4/n m m'
_space_group_IT_number 129
_cell_length_a 4.0449
_cell_length_b 4.0449
_cell_length_c 10.3986
_cell_angle_alpha 90.00
_cell_angle_beta 90.00
_cell_angle_gamma 90.00
loop_
_space_group_symop_operation_xyz
'x,y,z'
'-x,-y,-z'
'-y+1/2,x,z'
'y+1/2,-x,-z'
'-x+1/2,-y+1/2,z'
'x+1/2,y+1/2,-z'
'y,-x+1/2,z'
'-y,x+1/2,-z'
'x+1/2,-y,-z'
'-x+1/2,y,z'
'-y,-x,-z'
'y,x,z'
'-x,y+1/2,-z'
'x,-y+1/2,z'
'y+1/2,x+1/2,-z'
'-y+1/2,-x+1/2,z'
loop_
_atom_site_label
_atom_site_fract_x
_atom_site_fract_y
_atom_site_fract_z
_atom_site_occupancy
Sm1 0.2500 0.2500 0.2279 1
Ag1 0.2500 0.7500 0.5000 1
As1 0.2500 0.2500 0.6839 1
As2 0.2500 0.7500 0.0000 1

[3]
# KPaHg, optimized geometry, DFT PBE
# total magnetic moment	7.8	μB per cell
# relative energy among the computed polymorphs	0	meV/atom
# crystal system	cubic
data_KPaHg
_chemical_formula_sum 'K4 Pa4 Hg4'
_space_group_name_H-M_alt 'F -4 3 m'
_space_group_IT_number 216
_space_group_name_Hall 'F -4 2 3'
_cell_length_a 7.5416
_cell_length_b 7.5416
_cell_length_c 7.5416
_cell_angle_alpha 90.00
_cell_angle_beta 90.00
_cell_angle_gamma 90.00
loop_
_atom_site_label
_atom_site_fract_x
_atom_site_fract_y
_atom_site_fract_z
_atom_site_occupancy
K1 0.0000 0.0000 0.0000 1
Pa1 0.0000 0.0000 0.5000 1
Hg1 0.2500 0.2500 0.2500 1

[4]
# TaTlZn2, optimized geometry, DFT PBE
# total magnetic moment	6.6	μB per cell
# crystal system	cubic
# raw total energy	-3.48	eV/atom
data_TaTlZn2
_chemical_formula_sum 'Ta4 Tl4 Zn8'
_space_group_name_H-M_alt 'F -4 3 m'
_space_group_IT_number 216
_space_group_name_Hall 'F -4 2 3'
_cell_length_a 6.6843
_cell_length_b 6.6843
_cell_length_c 6.6843
_cell_angle_alpha 90.00
_cell_angle_beta 90.00
_cell_angle_gamma 90.00
loop_
_atom_site_label
_atom_site_fract_x
_atom_site_fract_y
_atom_site_fract_z
_atom_site_occupancy
Ta1 0.0000 0.0000 0.0000 1
Tl1 0.2500 0.2500 0.7500 1
Zn1 0.0000 0.0000 0.5000 1
Zn2 0.2500 0.2500 0.2500 1

[5]
# Sc3CoC2, optimized geometry, DFT PBE
# total magnetic moment	1.6	μB per cell
# crystal system	hexagonal
# raw total energy	-7.59	eV/atom
data_Sc3CoC2
_chemical_formula_sum 'Sc6 Co2 C4'
_space_group_name_H-M_alt 'P 63/m m c'
_space_group_IT_number 194
_space_group_name_Hall '-P 6c 2c'
_cell_length_a 3.2442
_cell_length_b 3.2442
_cell_length_c 18.6969
_cell_angle_alpha 90.00
_cell_angle_beta 90.00
_cell_angle_gamma 120.00
loop_
_atom_site_label
_atom_site_fract_x
_atom_site_fract_y
_atom_site_fract_z
_atom_site_occupancy
Sc1 0.0000 0.0000 0.0000 1
Sc2 0.3333 0.6667 0.1420 1
Co1 0.0000 0.0000 0.2500 1
C1 0.3333 0.6667 0.5762 1

[6]
# NaInReTc, optimized geometry, DFT PBE
# total magnetic moment	0.0	μB per cell
# relative energy among the computed polymorphs	0	meV/atom
# crystal system	cubic
data_NaInReTc
_chemical_formula_sum 'Na4 In4 Re4 Tc4'
_space_group_name_H-M_alt 'F -4 3 m'
_space_group_IT_number 216
_space_group_name_Hall 'F -4 2 3'
_cell_length_a 6.4198
_cell_length_b 6.4198
_cell_length_c 6.4198
_cell_angle_alpha 90.00
_cell_angle_beta 90.00
_cell_angle_gamma 90.00
loop_
_atom_site_label
_atom_site_fract_x
_atom_site_fract_y
_atom_site_fract_z
_atom_site_occupancy
Na1 0.0000 0.0000 0.0000 1
In1 0.2500 0.2500 0.7500 1
Re1 0.2500 0.2500 0.2500 1
Tc1 0.0000 0.0000 0.5000 1

[7]
# CsInPdSe3, optimized geometry, DFT PBE
# relative energy among the computed polymorphs	46	meV/atom
# crystal system	monoclinic
data_CsInPdSe3
_chemical_formula_sum 'Cs2 In2 Pd2 Se6'
_space_group_name_H-M_alt 'P 1 21/m 1'
_space_group_IT_number 11
_cell_length_a 9.5725
_cell_length_b 3.9799
_cell_length_c 10.5834
_cell_angle_alpha 90.00
_cell_angle_beta 110.23
_cell_angle_gamma 90.00
loop_
_space_group_symop_operation_xyz
'x,y,z'
'-x,-y,-z'
'-x,y+1/2,-z'
'x,-y+1/2,z'
loop_
_atom_site_label
_atom_site_fract_x
_atom_site_fract_y
_atom_site_fract_z
_atom_site_occupancy
Cs1 0.2146 0.2500 0.2414 1
In1 0.3336 0.7500 0.8978 1
Pd1 0.1009 0.2500 0.6113 1
Se1 0.1265 0.2500 0.8660 1
Se2 0.1767 0.7500 0.5135 1
Se3 0.4959 0.7500 0.1639 1

[8]
# Tb2HgIr, optimized geometry, DFT PBE
# total magnetic moment	0.0	μB per cell
# formation energy from the elements	-2.670	eV per formula unit
# crystal system	tetragonal
data_Tb2HgIr
_chemical_formula_sum 'Tb2 Hg1 Ir1'
_space_group_name_H-M_alt 'P 4/m m m'
_space_group_IT_number 123
_space_group_name_Hall '-P 4 2'
_cell_length_a 3.5136
_cell_length_b 3.5136
_cell_length_c 7.5130
_cell_angle_alpha 90.00
_cell_angle_beta 90.00
_cell_angle_gamma 90.00
loop_
_atom_site_label
_atom_site_fract_x
_atom_site_fract_y
_atom_site_fract_z
_atom_site_occupancy
Tb1 0.0000 0.0000 0.2204 1
Hg1 0.5000 0.5000 0.5000 1
Ir1 0.5000 0.5000 0.0000 1